A plane-wave DFT calculation with PBE was carried out for a relaxed CoOs2Se crystal.

```
data_CoOs2Se
_chemical_formula_sum 'Co2 Os4 Se2'
_cell_length_a 3.790
_cell_length_b 2.828
_cell_length_c 10.590
_cell_angle_alpha 90.00
_cell_angle_beta 90.00
_cell_angle_gamma 90.00
_space_group_name_H-M_alt 'A m m 2'
_space_group_IT_number 38
loop_
_space_group_symop_operation_xyz
'x,y,z'
'-x,-y,z'
'-x,y,z'
'x,-y,z'
'x,y+1/2,z+1/2'
'-x,-y+1/2,z+1/2'
'-x,y+1/2,z+1/2'
'x,-y+1/2,z+1/2'
loop_
_atom_site_label
_atom_site_fract_x
_atom_site_fract_y
_atom_site_fract_z
Co1 0.000 0.000 0.000
Os1 0.000 0.000 0.246
Os2 0.500 0.000 0.632
Se1 0.500 0.000 0.406
```

Computed properties:
Magnetization (μB/f.u.): 0.47
Uncorrected formation energy (eV per atom): 0.4431